(1)
Th7Mn2Te2: relaxed, GGA-PBE.

extended XYZ file:
```
11
Lattice="3.819 0.000 0.819 0.950 8.371 4.883 -0.091 0.059 9.737" Properties=species:S:1:pos:R:3 pbc="T T T"
Th 3.545 3.593 11.404
Th 3.184 0.731 3.778
Th 1.295 6.113 12.587
Th 0.647 0.971 6.293
Th 2.034 6.221 9.138
Th 1.841 0.244 10.039
Th 2.853 3.889 5.320
Te 2.185 2.986 8.437
Te 0.689 6.288 6.099
Mn 1.314 2.734 3.186
Mn 3.555 7.227 11.359
```


(2)
ThMnTlTe4: relaxed, GGA-PBE.

extended XYZ file:
```
14
Lattice="-4.925 3.998 -4.472 -3.151 -5.429 -1.383 -3.660 -0.249 9.315" Properties=species:S:1:pos:R:3 pbc="T T T"
Tl -2.307 -0.298 -1.040
Tl -9.429 -1.381 4.500
Mn -4.817 -3.111 0.779
Mn -6.920 1.431 2.681
Te -6.677 -2.493 2.594
Te -4.334 -2.847 5.871
Te -5.060 0.814 0.866
Te -5.877 3.795 -1.742
Te -7.403 1.167 -2.412
Te -6.657 0.642 5.177
Te -5.080 -2.322 -1.717
Te -5.859 -5.475 5.202
Th -7.618 -1.229 -0.222
Th -4.119 -0.450 3.682
```


(3)
Th3MnTl3Te8: relaxed, GGA-PBE.

extended XYZ file:
```
15
Lattice="-1.434 -4.303 -7.565 0.088 -4.414 7.635 -7.863 5.660 -1.729" Properties=species:S:1:pos:R:3 pbc="T T T"
Te -2.471 -1.838 1.513
Te -5.845 1.013 0.531
Te -3.410 -1.756 -6.193
Te -5.798 -1.300 4.534
Te -6.737 -1.218 -3.172
Te -6.550 -3.555 0.568
Te -2.658 0.499 -2.227
Te -3.364 -4.069 -2.190
Mn -3.931 2.830 -0.864
Th -4.604 -1.528 -0.830
Th -3.887 0.623 2.953
Th -4.648 0.679 -4.647
Tl 0.000 0.000 0.000
Tl -0.673 -4.358 0.035
Tl 0.044 -2.207 3.817
```


(4)
Th2MnTl3Te6: relaxed, GGA-PBE.

extended XYZ file:
```
12
Lattice="-2.403 -7.019 -1.845 7.486 1.525 0.301 -1.587 -0.304 8.521" Properties=species:S:1:pos:R:3 pbc="T T T"
Te 3.502 -4.220 0.667
Te 1.118 -5.835 5.199
Te 4.235 -3.141 5.876
Te 2.378 0.037 1.779
Te -0.739 -2.657 1.102
Te -0.007 -1.578 6.311
Tl -1.476 -5.684 2.789
Tl 1.748 -2.899 3.489
Tl 4.971 -0.114 4.189
Th 4.176 -1.335 -0.417
Th 0.907 -4.159 -1.127
Mn 0.000 0.000 0.000
```


Computed M_tot (μB/atom) in order:
0.13; 0.69; 0.29; 0.39
Computed E (eV/atom) in order:
-7.29; -5.13; -5.00; -4.84
Computed ΔE_f (raw) (eV/atom) in order:
-0.33; -0.63; -0.76; -0.67